DFT (PBE+U) results for a relaxed structure of PrScWO6.

The calculation puts the total magnetization at 0.00 μB/f.u. Its energy is -73.33 eV/f.u. The volume comes out at 248.7 Å³/cell.

The structure belongs to space group P4_2nm (No. 102); the cell edges are 5.004, 5.004 and 9.932 Å and the angles 90.00°, 90.00° and 90.00°. The inequivalent atoms are Pr at (0.000, 0.000, 0.000), Sc at (0.000, 0.000, 0.666), W at (0.000, 0.000, 0.334), O at (0.172, 0.172, 0.491), O at (0.199, 0.199, 0.199) and O at (0.223, 0.223, 0.820).